VASP calculation (PBE) on crystalline Tb2PmNdHo4 at its relaxed geometry.

Cell and atoms, written as POSCAR:
```
Tb2PmNdHo4
1.0
-3.406 5.899 6.634
3.406 -5.899 6.634
3.406 5.899 -6.634
Tb Pm Nd Ho
4 2 2 8
Cartesian
0.000 0.000 0.000
-1.703 2.950 3.317
0.000 5.899 0.000
1.703 2.950 3.317
3.406 0.000 0.000
0.000 0.000 6.634
1.703 2.950 -3.317
1.703 -2.950 3.317
0.000 0.032 3.301
1.697 2.950 0.033
1.709 -2.950 6.667
3.406 0.032 3.333
0.000 5.867 3.301
1.697 8.849 -0.033
1.709 2.950 6.602
3.406 5.867 3.333
```

**SG**: Imma (74)
**ΔH_f (0 K)**: 427 meV per atom
**V**: 33.322 Å³ per atom

VASP calculation (PBE) on crystalline OsC2 at its relaxed geometry.

Cell and atoms, written as POSCAR:
```
OsC2
1.0
2.607 0.000 0.000
0.000 15.664 0.000
0.000 0.000 2.668
Os C
4 8
Cartesian
0.000 2.941 0.667
0.000 12.723 2.001
1.304 4.891 2.001
1.304 10.773 0.667
0.000 1.303 2.001
0.000 7.368 0.667
0.000 8.296 2.001
0.000 14.361 0.667
1.304 0.464 2.001
1.304 6.529 0.667
1.304 9.135 2.001
1.304 15.200 0.667
```

**SG**: Cmcm (63)
**Relative energy among the computed polymorphs**: 0.0 meV per atom
**ΔH_f (0 K)**: 564 meV per atom
**V**: 9.079 Å³ per atom

VASP calculation (PBE) on crystalline NpAuBr6 at its relaxed geometry.

Cell and atoms, written as POSCAR:
```
NpAuBr6
1.0
7.270 0.000 0.000
3.564 6.548 0.000
2.836 2.534 6.590
Np Au Br
1 1 6
Cartesian
0.000 0.000 0.000
3.200 4.541 3.295
5.278 7.132 5.197
4.944 4.625 1.579
5.012 2.367 5.061
8.659 6.716 1.529
8.727 4.458 5.011
8.393 1.951 1.393
```

**SG**: P-1 (2)
**Formation energy from raw total energies**: -812 meV/atom
**V**: 39.219 Å³ per atom

VASP calculation (PBE) on crystalline ZrSb4As at its relaxed geometry.

Cell and atoms, written as POSCAR:
```
ZrSb4As
1.0
0.000 4.297 4.297
4.297 0.000 4.297
4.297 4.297 0.000
Zr Sb As
1 4 1
Cartesian
0.000 0.000 0.000
3.226 3.226 3.226
5.367 5.367 3.226
5.367 3.226 5.367
3.226 5.367 5.367
6.445 6.445 6.445
```

**SG**: F-43m (216)
**Formation energy from raw total energies**: 435 meV/atom
**V**: 26.440 Å³ per atom

VASP calculation (PBE) on crystalline La3Tb5Pm at its relaxed geometry.

Cell and atoms, written as POSCAR:
```
La3Tb5Pm
1.0
-4.381 4.381 7.976
4.381 -4.381 7.976
4.381 4.381 -7.976
La Tb Pm
6 10 2
Cartesian
5.415 1.034 0.000
0.000 0.000 3.988
1.034 3.346 0.000
3.346 1.034 7.976
0.000 0.000 11.963
-1.034 3.346 7.976
0.000 0.000 0.000
2.519 1.862 -2.219
2.519 -1.862 5.757
2.519 1.862 2.219
2.519 -1.862 10.194
0.000 0.000 7.976
1.862 6.243 -2.219
1.862 2.519 5.757
1.862 6.243 2.219
1.862 2.519 10.194
4.381 0.000 3.988
0.000 4.381 3.988
```

**SG**: I4/mcm (140)
**ΔH_f (0 K)**: 235 meV per atom
**V**: 34.014 Å³ per atom

VASP calculation (PBE) on crystalline Ca2Ni3C2 at its relaxed geometry.

Cell and atoms, written as POSCAR:
```
Ca2Ni3C2
1.0
9.063 0.000 0.000
0.000 3.664 0.000
-3.983 0.000 6.373
Ca Ni C
4 6 4
Cartesian
0.148 0.000 1.656
0.401 1.832 4.717
4.679 1.832 1.656
4.933 0.000 4.717
-1.991 1.832 3.187
-1.533 0.000 5.640
2.082 1.832 0.733
2.540 0.000 3.187
2.999 1.832 5.640
6.613 0.000 0.733
-1.553 0.000 3.762
2.102 1.832 2.611
2.978 1.832 3.762
6.634 0.000 2.611
```

**SG**: C2/m (12)
**ΔH_f (0 K)**: 84 meV per atom
**V**: 15.116 Å³ per atom

VASP calculation (PBE) on crystalline Al2C at its relaxed geometry.

Cell and atoms, written as POSCAR:
```
Al2C
1.0
3.066 0.000 0.000
0.000 5.235 0.000
0.000 0.000 9.897
Al C
8 4
Cartesian
0.000 0.000 1.286
0.000 0.000 8.611
0.000 2.617 3.662
0.000 2.617 6.235
1.533 0.000 3.662
1.533 0.000 6.235
1.533 2.617 1.286
1.533 2.617 8.611
0.000 0.000 4.948
0.000 2.617 0.000
1.533 0.000 0.000
1.533 2.617 4.948
```

**SG**: Fmmm (69)
**ΔH_f (0 K)**: 537 meV per atom
**V**: 13.237 Å³ per atom

VASP calculation (PBE) on crystalline BeZn5Ni6 at its relaxed geometry.

Cell and atoms, written as POSCAR:
```
BeZn5Ni6
1.0
-1.924 3.167 5.724
1.924 -3.167 5.724
1.924 3.167 -5.724
Be Zn Ni
1 5 6
Cartesian
0.000 0.000 0.000
1.924 0.000 1.995
0.000 0.000 3.874
0.000 3.167 0.000
0.000 0.000 7.575
0.000 3.167 3.729
1.924 -1.669 3.895
1.924 1.420 0.000
0.000 1.498 1.829
1.924 1.669 3.895
0.000 1.747 5.724
0.000 4.836 1.829
```

**SG**: Immm (71)
**ΔH_f (0 K)**: -248 meV per atom
**V**: 11.623 Å³ per atom

VASP calculation (PBE) on crystalline BaSi2Ag at its relaxed geometry.

Cell and atoms, written as POSCAR:
```
BaSi2Ag
1.0
7.237 0.000 0.000
0.000 7.237 0.000
0.000 0.000 7.237
Ba Si Ag
4 8 4
Cartesian
0.000 0.000 0.000
0.000 3.618 3.618
3.618 0.000 3.618
3.618 3.618 0.000
1.809 1.809 1.809
1.809 1.809 5.427
1.809 5.427 1.809
1.809 5.427 5.427
5.427 1.809 1.809
5.427 1.809 5.427
5.427 5.427 1.809
5.427 5.427 5.427
0.000 0.000 3.618
0.000 3.618 0.000
3.618 0.000 0.000
3.618 3.618 3.618
```

**SG**: Fm-3m (225)
**Formation energy from raw total energies**: 329 meV/atom
**V**: 23.685 Å³ per atom

VASP calculation (PBE) on crystalline PaGa2Ir at its relaxed geometry.

Cell and atoms, written as POSCAR:
```
PaGa2Ir
1.0
2.982 0.000 0.000
-1.491 2.583 0.000
0.000 0.000 30.145
Pa Ga Ir
3 6 3
Cartesian
0.000 0.000 0.000
0.000 1.722 20.096
1.491 0.861 10.048
0.000 0.000 3.024
0.000 0.000 27.121
0.000 1.722 17.073
0.000 1.722 23.120
1.491 0.861 7.024
1.491 0.861 13.072
0.000 0.000 15.072
0.000 1.722 5.024
1.491 0.861 25.120
```

**SG**: R-3m (166)
**ΔH_f (0 K)**: 47 meV per atom
**V**: 19.348 Å³ per atom

VASP calculation (PBE) on crystalline Hg2Ge2S at its relaxed geometry.

Cell and atoms, written as POSCAR:
```
Hg2Ge2S
1.0
3.717 0.000 0.000
0.000 3.717 0.000
0.000 0.000 16.144
Hg Ge S
4 4 2
Cartesian
0.000 0.000 1.494
0.000 0.000 14.650
1.859 1.859 6.578
1.859 1.859 9.566
0.000 1.859 4.036
0.000 1.859 12.108
1.859 0.000 4.036
1.859 0.000 12.108
0.000 0.000 8.072
1.859 1.859 0.000
```

**SG**: I4/mmm (139)
**Relative energy among the computed polymorphs**: 115.5 meV per atom
**Formation energy from raw total energies**: 308 meV/atom
**V**: 22.311 Å³ per atom

VASP calculation (PBE) on crystalline Er2MnPt at its relaxed geometry.

Cell and atoms, written as POSCAR:
```
Er2MnPt
1.0
3.504 0.000 0.000
0.000 3.504 0.000
0.000 0.000 6.827
Er Mn Pt
2 1 1
Cartesian
0.000 0.000 1.673
0.000 0.000 5.154
1.752 1.752 3.413
1.752 1.752 0.000
```

**SG**: P4/mmm (123)
**ΔH_f (0 K)**: -552 meV per atom
**V**: 20.952 Å³ per atom

Number 1: total DFT energy (no corrections) -4.210 eV per atom. Number 2: total DFT energy (no corrections) -9.329 eV per atom. Number 3: total DFT energy (no corrections) -4.094 eV per atom. Number 4: total DFT energy (no corrections) -4.512 eV per atom. Number 5: total DFT energy (no corrections) -4.508 eV per atom. Number 6: total DFT energy (no corrections) -5.601 eV per atom. Number 7: total DFT energy (no corrections) -5.032 eV per atom. Number 8: total DFT energy (no corrections) -3.980 eV per atom. Number 9: total DFT energy (no corrections) -3.576 eV per atom. Number 10: total DFT energy (no corrections) -6.056 eV per atom. Number 11: total DFT energy (no corrections) -2.485 eV per atom. Number 12: total DFT energy (no corrections) -6.636 eV per atom.